Entry 1:
4
Lattice="-0.1089 0.5426 -3.8303 -0.2980 -3.8216 -0.5329 -5.8541 0.4250 0.2266" Properties=species:S:1:pos:R:3 comment="LaTa2Cl | the Alexandria database | SCAN | PBEsol geometry" formation_energy_uncorrected_ev_per_atom=0.28 spacegroup=P4/mmm pbc="T T T"
Cl -3.1305 -1.4270 -2.0683
La -2.9271 0.2125 0.1133
Ta -0.1490 -1.9108 -0.2664
Ta -0.0544 0.2713 -1.9151

---

Entry 2:
4
Lattice="4.5051 0.0000 0.0000 2.2526 3.9015 0.0000 2.2526 1.3005 3.6784" Properties=species:S:1:pos:R:3 comment="TaPCl2 | the Alexandria database | SCAN | PBEsol geometry" formation_energy_uncorrected_ev_per_atom=0.24 spacegroup=F-43m pbc="T T T"
Cl 0.0000 0.0000 0.0000
Cl 6.7577 3.9015 2.7588
P 4.5051 2.6010 1.8392
Ta 2.2526 1.3005 0.9196

---

Entry 3:
29
Lattice="-0.7561 4.1728 2.4228 -6.1593 -6.6317 9.4997 16.9628 -1.1275 2.3132" Properties=species:S:1:pos:R:3 comment="Ba11Cd6Sb12 | the Alexandria database | SCAN | PBEsol geometry" formation_energy_uncorrected_ev_per_atom=-0.95 spacegroup=C2/m pbc="T T T"
Sb 14.2861 0.0691 4.3396
Sb 7.3917 -2.4353 6.5014
Sb 2.6556 -1.1511 7.7342
Sb 8.6382 -2.1902 11.3911
Sb 0.0737 -4.9096 8.4789
Sb -4.2387 -3.6555 9.8960
Sb 5.5748 1.5282 4.0306
Sb 12.1346 -2.4052 7.9297
Sb -2.0873 -1.1812 6.3059
Sb 9.9737 1.3232 5.7567
Sb 1.4091 -1.3962 2.8445
Sb 4.4725 -5.1146 10.2050
Ba 0.6236 -3.1580 5.6337
Ba 4.0617 0.1093 1.0793
Ba -3.5753 -4.4678 6.5792
Ba 8.4630 -0.3541 3.2512
Ba 4.4717 -1.9188 4.7005
Ba 5.5757 -1.6676 9.5351
Ba 0.0000 0.0000 0.0000
Ba 9.4238 -0.4284 8.6019
Ba 5.9857 -3.6957 13.1562
Ba 13.6227 0.8814 7.6564
Ba 1.5844 -3.2323 10.9844
Cd 11.6963 -0.9299 5.2520
Cd 6.9479 0.4470 6.3213
Cd -0.3640 0.5610 3.8430
Cd 3.0995 -4.0334 7.9143
Cd 10.4113 -4.1474 10.3925
Cd -1.6490 -2.6565 8.9836

---

Entry 4:
4
Lattice="-0.8575 -0.9543 -2.5246 2.6692 0.0925 -0.9416 0.9024 -6.0155 1.9673" Properties=species:S:1:pos:R:3 comment="FeMo2P | the Alexandria database | SCAN | PBEsol geometry" spacegroup=P4/mmm formation_enthalpy_0k_mev_per_atom=54.5 pbc="T T T"
Fe 1.3570 -3.4387 -0.7494
Mo 0.6868 -4.5782 1.4973
Mo 0.2156 -1.4373 0.4701
P 0.9058 -0.4309 -1.7331